[1]
This record from Alexandria describes an optimized crystal structure of KAs2Cl. The functional is GGA-PBE.

Structure (extended XYZ):
```
8
Lattice="4.067 0.000 0.000 0.000 4.067 0.000 2.034 2.034 17.783" Properties=species:S:1:pos:R:3 pbc="T T T"
As 2.742 1.017 4.446
As 1.325 3.051 4.446
As 3.051 3.359 13.337
As 5.084 4.776 13.337
K 0.000 0.000 0.000
K 4.067 2.034 8.892
Cl 2.034 2.034 0.000
Cl 2.034 4.067 8.892
```

Results
Total energy in eV per atom: -3.634
Calculated density in g/cm³: 2.53
N(E_F) in states/eV/f.u.: 1.3
ΔE to the lowest computed polymorph in eV/f.u.: 0.513
Uncorrected formation energy in meV per atom: -573

***

[2]
This record from Alexandria describes an optimized crystal structure of Np2AsO2. The functional is GGA-PBE.

Structure (extended XYZ):
```
20
Lattice="3.828 0.000 0.000 0.000 9.144 0.000 0.000 0.000 9.861" Properties=species:S:1:pos:R:3 pbc="T T T"
Np 2.871 0.080 6.534
Np 0.957 4.492 1.604
Np 0.957 9.064 3.327
Np 2.871 4.652 8.257
Np 0.957 3.105 5.258
Np 2.871 1.467 0.327
Np 2.871 6.039 4.603
Np 0.957 7.677 9.533
As 0.957 2.304 8.079
As 2.871 2.268 3.149
As 2.871 6.840 1.781
As 0.957 6.876 6.712
O 2.871 4.141 5.953
O 0.957 0.431 1.022
O 0.957 5.003 3.908
O 2.871 8.713 8.839
O 0.957 0.836 5.440
O 2.871 3.736 0.510
O 2.871 8.308 4.421
O 0.957 5.408 9.351
```

Results
Total energy in eV per atom: -10.243
Calculated density in g/cm³: 11.18
N(E_F) in states/eV/f.u.: 12.2
Uncorrected formation energy in meV per atom: -2154

***

[3]
This record from Alexandria describes an optimized crystal structure of TbSm4Y2. The functional is GGA-PBE.

Structure (extended XYZ):
```
14
Lattice="-3.151 -0.547 -1.546 -1.522 -6.302 9.416 -4.500 9.679 5.751" Properties=species:S:1:pos:R:3 pbc="T T T"
Tb -5.655 5.490 5.506
Tb -3.518 -2.661 8.116
Sm -3.645 -2.361 4.185
Sm -4.816 0.158 5.682
Sm -5.528 5.191 9.436
Sm -4.357 2.671 7.939
Sm -7.805 0.926 11.504
Sm -1.368 1.903 2.117
Sm -1.576 -0.273 -0.773
Sm -3.826 4.566 2.103
Y -2.986 3.086 4.997
Y -8.348 4.391 11.386
Y -0.825 -1.562 2.235
Y -6.187 -0.257 8.624
```

Results
Total energy in eV per atom: -4.994
Calculated density in g/cm³: 6.41
N(E_F) in states/eV/f.u.: 10.7
ΔE to the lowest computed polymorph in eV/f.u.: 0.624

***

[4]
This record from Alexandria describes an optimized crystal structure of Ho2Tl2Au. The functional is GGA-PBE.

Structure (extended XYZ):
```
5
Lattice="3.587 0.000 0.000 0.000 3.538 0.670 0.000 -0.153 10.479" Properties=species:S:1:pos:R:3 pbc="T T T"
Ho 1.794 1.441 2.065
Ho 1.794 1.944 9.085
Tl 0.000 0.569 6.667
Tl 0.000 2.816 4.483
Au 0.000 0.000 0.000
```

Results
Total energy in eV per atom: -3.822
Calculated density in g/cm³: 11.65
N(E_F) in states/eV/f.u.: 3.5

***

[5]
This record from Alexandria describes an optimized crystal structure of Ce2MnPt9. The functional is GGA-PBE.

Structure (extended XYZ):
```
12
Lattice="-2.513 -4.111 2.399 2.778 -4.377 1.449 1.708 0.845 9.277" Properties=species:S:1:pos:R:3 pbc="T T T"
Ce 0.926 -6.990 7.107
Ce 1.048 -0.654 6.017
Mn 0.000 0.000 0.000
Pt 1.881 -4.823 11.823
Pt 0.092 -2.821 1.302
Pt 0.987 -3.822 6.562
Pt 0.543 -3.298 3.943
Pt -0.727 -5.375 5.155
Pt 1.946 -5.510 4.675
Pt 1.431 -4.346 9.181
Pt 0.027 -2.134 8.449
Pt 2.701 -2.268 7.969
```

Results
Total energy in eV per atom: -6.859
Calculated density in g/cm³: 15.47
N(E_F) in states/eV/f.u.: 15.1
ΔE to the lowest computed polymorph in eV/f.u.: 2.213